1.
# Th2AlPb GGA-PBE relaxed
data_Th2AlPb
_cell_length_a 4.394
_cell_length_b 4.394
_cell_length_c 8.023
_cell_angle_alpha 74.11
_cell_angle_beta 74.11
_cell_angle_gamma 60.00
_space_group_name_H-M_alt 'P 1'
_space_group_IT_number 1
loop_
_space_group_symop_operation_xyz
'x,y,z'
loop_
_atom_site_label
_atom_site_fract_x
_atom_site_fract_y
_atom_site_fract_z
_atom_site_occupancy
Th1 0.746 0.746 0.761 1
Pb1 0.500 0.500 0.500 1
Th2 0.254 0.254 0.239 1
Al1 0.000 0.000 0.000 1
# Relative energy among the computed polymorphs   222 meV/atom
# Symmetry   R-3m
# Energy relative to the elements   -0.061 eV per atom
# Size of the total moment   0.0 μB per formula unit



2.
# PPbBr GGA-PBE relaxed
data_PPbBr
_cell_length_a 6.154
_cell_length_b 6.154
_cell_length_c 4.163
_cell_angle_alpha 70.23
_cell_angle_beta 70.23
_cell_angle_gamma 39.53
_space_group_name_H-M_alt 'P 1'
_space_group_IT_number 1
loop_
_space_group_symop_operation_xyz
'x,y,z'
loop_
_atom_site_label
_atom_site_fract_x
_atom_site_fract_y
_atom_site_fract_z
_atom_site_occupancy
Pb1 0.707 0.707 0.293 1
P1 0.256 0.256 0.744 1
Br1 0.037 0.037 0.963 1
# Relative energy among the computed polymorphs   243 meV/atom
# Symmetry   I4mm
# Size of the total moment   0.0 μB per formula unit



3.
# Zr3MnIr2 GGA-PBE relaxed
data_Zr3MnIr2
_cell_length_a 4.627
_cell_length_b 7.326
_cell_length_c 6.543
_cell_angle_alpha 90.00
_cell_angle_beta 90.00
_cell_angle_gamma 71.30
_space_group_name_H-M_alt 'P 1'
_space_group_IT_number 1
loop_
_space_group_symop_operation_xyz
'x,y,z'
loop_
_atom_site_label
_atom_site_fract_x
_atom_site_fract_y
_atom_site_fract_z
_atom_site_occupancy
Ir1 0.334 0.331 0.500 1
Mn1 0.334 0.333 0.000 1
Zr1 0.500 0.000 0.248 1
Zr2 0.169 0.662 0.244 1
Zr3 0.831 0.338 0.756 1
Zr4 0.831 0.338 0.244 1
Ir2 0.666 0.669 0.500 1
Zr5 0.500 0.000 0.752 1
Ir3 0.000 0.000 0.500 1
Ir4 0.000 0.000 0.000 1
Mn2 0.666 0.667 0.000 1
Zr6 0.169 0.662 0.756 1
# Symmetry   P2/m
# Energy relative to the elements   -0.591 eV per atom
# Size of the total moment   0.0 μB per formula unit



4.
# Cs2ZnI6F GGA-PBE relaxed
data_Cs2ZnI6F
_cell_length_a 7.650
_cell_length_b 7.650
_cell_length_c 8.719
_cell_angle_alpha 63.98
_cell_angle_beta 63.98
_cell_angle_gamma 90.00
_space_group_name_H-M_alt 'P 1'
_space_group_IT_number 1
loop_
_space_group_symop_operation_xyz
'x,y,z'
loop_
_atom_site_label
_atom_site_fract_x
_atom_site_fract_y
_atom_site_fract_z
_atom_site_occupancy
Cs1 0.750 0.250 0.500 1
F1 0.500 0.500 0.000 1
I1 0.782 0.782 0.436 1
Zn1 0.000 0.000 0.000 1
I2 0.255 0.255 0.000 1
Cs2 0.250 0.750 0.500 1
I3 0.218 0.218 0.564 1
I4 0.745 0.745 0.000 1
I5 0.255 0.745 0.000 1
I6 0.745 0.255 0.000 1
# Symmetry   I4/mmm
# DFT total energy   -2.16 eV/atom
# Size of the total moment   0.0 μB per formula unit



5.
# NaSO3 GGA-PBE relaxed
data_NaSO3
_cell_length_a 3.575
_cell_length_b 3.575
_cell_length_c 3.575
_cell_angle_alpha 90.00
_cell_angle_beta 90.00
_cell_angle_gamma 90.00
_space_group_name_H-M_alt 'P 1'
_space_group_IT_number 1
loop_
_space_group_symop_operation_xyz
'x,y,z'
loop_
_atom_site_label
_atom_site_fract_x
_atom_site_fract_y
_atom_site_fract_z
_atom_site_occupancy
O1 0.000 0.500 0.000 1
O2 0.500 0.000 0.000 1
Na1 0.500 0.500 0.500 1
S1 0.000 0.000 0.000 1
O3 0.000 0.000 0.500 1
# Symmetry   Pm-3m
# DFT total energy   -4.62 eV/atom
# Size of the total moment   0.0 μB per formula unit



6.
# LiGa2Pd2 GGA-PBE relaxed
data_LiGa2Pd2
_cell_length_a 3.882
_cell_length_b 3.882
_cell_length_c 6.507
_cell_angle_alpha 72.65
_cell_angle_beta 72.65
_cell_angle_gamma 90.00
_space_group_name_H-M_alt 'P 1'
_space_group_IT_number 1
loop_
_space_group_symop_operation_xyz
'x,y,z'
loop_
_atom_site_label
_atom_site_fract_x
_atom_site_fract_y
_atom_site_fract_z
_atom_site_occupancy
Pd1 0.388 0.388 0.224 1
Pd2 0.612 0.612 0.776 1
Ga1 0.250 0.750 0.500 1
Ga2 0.750 0.250 0.500 1
Li1 0.000 0.000 0.000 1
# Relative energy among the computed polymorphs   212 meV/atom
# Symmetry   I4/mmm
# Energy relative to the elements   -0.403 eV per atom
# Size of the total moment   0.0 μB per formula unit



7.
# SrPSe GGA-PBE relaxed
data_SrPSe
_cell_length_a 4.459
_cell_length_b 3.831
_cell_length_c 19.288
_cell_angle_alpha 90.00
_cell_angle_beta 102.22
_cell_angle_gamma 90.00
_space_group_name_H-M_alt 'P 1'
_space_group_IT_number 1
loop_
_space_group_symop_operation_xyz
'x,y,z'
loop_
_atom_site_label
_atom_site_fract_x
_atom_site_fract_y
_atom_site_fract_z
_atom_site_occupancy
Sr1 0.363 0.500 0.653 1
Se1 0.283 0.000 0.521 1
P1 0.442 0.000 0.322 1
Se2 0.901 0.500 0.197 1
Se3 0.283 0.500 0.021 1
P2 0.122 0.500 0.317 1
Sr2 0.726 0.000 0.955 1
Sr3 0.363 0.000 0.153 1
P3 0.442 0.500 0.822 1
Se4 0.901 0.000 0.697 1
Sr4 0.726 0.500 0.455 1
P4 0.122 0.000 0.817 1
# Symmetry   Cm
# DFT total energy   -4.61 eV/atom
# Size of the total moment   0.0 μB per formula unit



8.
# SbTe2IrRh GGA-PBE relaxed
data_SbTe2IrRh
_cell_length_a 5.260
_cell_length_b 5.260
_cell_length_c 4.968
_cell_angle_alpha 90.00
_cell_angle_beta 90.00
_cell_angle_gamma 90.00
_space_group_name_H-M_alt 'P 1'
_space_group_IT_number 1
loop_
_space_group_symop_operation_xyz
'x,y,z'
loop_
_atom_site_label
_atom_site_fract_x
_atom_site_fract_y
_atom_site_fract_z
_atom_site_occupancy
Te1 0.000 0.500 0.000 1
Rh1 0.500 0.500 0.500 1
Ir1 0.000 0.000 0.000 1
Sb1 0.000 0.000 0.500 1
Te2 0.500 0.000 0.000 1
# Relative energy among the computed polymorphs   0 meV/atom
# Symmetry   P4/mmm
# Size of the total moment   0.0 μB per formula unit



Look up the size of the total moment of the fourth one. 0.0 μB per formula unit



What is the size of the total moment in the fourth record? 0.0 μB per formula unit